Computed, not measured: a relaxed structure of Li2VF5 at the PBE+U level of DFT.

Values from the calculation:
* distance to the lowest polymorph of the same formula: 33 meV/atom
* E_tot: -5.477 eV/atom
* DOS at the Fermi energy: 0.00 states/eV/f.u.
* crystal system: monoclinic
* space group: C2/c, No. 15

Lattice parameters (Å, degrees): 6.760 6.760 5.609 101.60 101.60 43.00
Fractional coordinates of all 16 atoms:
Li1 0.187 0.722 0.955
Li2 0.278 0.813 0.545
Li3 0.722 0.187 0.455
Li4 0.813 0.278 0.045
V1 0.000 0.500 0.500
V2 0.500 0.000 0.000
F1 0.044 0.956 0.250
F2 0.135 0.273 0.165
F3 0.273 0.135 0.665
F4 0.305 0.482 0.550
F5 0.482 0.305 0.050
F6 0.518 0.695 0.950
F7 0.695 0.518 0.450
F8 0.727 0.865 0.335
F9 0.865 0.727 0.835
F10 0.956 0.044 0.750